Entry 1:
Ba2MgAl (meta-GGA SCAN, single point on PBEsol structure); calculated volume = 141 Å³ per cell; total moment = 0.00 μB per atom; DOS(E_F) = 2.78 states/eV/f.u.; energy relative to the lowest polymorph listed for this composition = 0.0 meV/atom; formation energy = -0.07 eV per atom; space group = No. 44; E_tot = -23.022 eV/atom
1.0
-2.032 2.931 5.907
2.032 -2.931 5.907
2.032 2.931 -5.907
Ba Mg Al
2 1 1
direct
0.000 0.000 0.000
0.691 0.191 0.500
0.279 0.779 0.500
0.448 0.448 0.000



Entry 2:
KTa2CrMo (meta-GGA SCAN, single point on PBEsol structure); calculated volume = 91 Å³ per cell; total moment = 0.79 μB per atom; DOS(E_F) = 3.73 states/eV/f.u.; formation energy = 3.08 eV per atom; space group = No. 123; E_tot = -35.870 eV/atom
1.0
4.562 0.000 0.000
0.000 4.562 0.000
0.000 0.000 4.358
K Ta Cr Mo
1 2 1 1
direct
0.000 0.000 0.000
0.000 0.500 0.000
0.500 0.000 0.000
0.500 0.500 0.500
0.000 0.000 0.500



Entry 3:
CsRhSe2Br (meta-GGA SCAN, single point on PBEsol structure); calculated volume = 201 Å³ per cell; total moment = 0.67 μB per atom; DOS(E_F) = 5.73 states/eV/f.u.; space group = No. 123; energy relative to the elements, uncorrected = 1.27 eV/atom; E_tot = -24.967 eV/atom
1.0
5.633 0.000 0.000
0.000 5.633 0.000
0.000 0.000 6.325
Cs Rh Se Br
1 1 2 1
direct
0.000 0.000 0.000
0.500 0.500 0.500
0.000 0.500 0.000
0.500 0.000 0.000
0.000 0.000 0.500



Entry 4:
CuSnI2N (meta-GGA SCAN, single point on PBEsol structure); calculated volume = 134 Å³ per cell; total moment = 0.02 μB per atom; DOS(E_F) = 2.07 states/eV/f.u.; space group = No. 123; energy relative to the elements, uncorrected = 0.89 eV/atom; E_tot = -25.891 eV/atom
1.0
5.906 0.000 0.000
0.000 5.906 0.000
0.000 0.000 3.837
Cu Sn I N
1 1 2 1
direct
0.000 0.000 0.000
0.500 0.500 0.500
0.000 0.500 0.500
0.500 0.000 0.500
0.500 0.500 0.000



Entry 5:
BaZn2SiTc (meta-GGA SCAN, single point on PBEsol structure); calculated volume = 126 Å³ per cell; total moment = 0.00 μB per atom; DOS(E_F) = 3.88 states/eV/f.u.; space group = No. 123; energy relative to the elements, uncorrected = 1.00 eV/atom; E_tot = -21.331 eV/atom
1.0
4.857 0.000 0.000
0.000 4.857 0.000
0.000 0.000 5.321
Ba Zn Si Tc
1 2 1 1
direct
0.000 0.000 0.000
0.000 0.500 0.500
0.500 0.000 0.500
0.500 0.500 0.000
0.000 0.000 0.500



Entry 6:
NaLa2Pd2 (meta-GGA SCAN, single point on PBEsol structure); calculated volume = 250 Å³ per cell; total moment = 0.00 μB per atom; DOS(E_F) = 3.12 states/eV/f.u.; formation energy = -0.65 eV per atom; space group = No. 127; E_tot = -31.850 eV/atom
1.0
8.036 0.000 0.000
0.000 8.036 0.000
0.000 0.000 3.876
Na La Pd
2 4 4
direct
0.000 0.000 0.000
0.500 0.500 0.000
0.162 0.338 0.500
0.338 0.838 0.500
0.662 0.162 0.500
0.838 0.662 0.500
0.130 0.630 0.000
0.370 0.130 0.000
0.630 0.870 0.000
0.870 0.370 0.000



Entry 7:
Ni2HgIr (meta-GGA SCAN, single point on PBEsol structure); calculated volume = 56 Å³ per cell; total moment = 0.47 μB per atom; DOS(E_F) = 3.51 states/eV/f.u.; formation energy = 0.47 eV per atom; space group = No. 35; E_tot = -42.430 eV/atom
1.0
1.385 -2.309 0.000
1.385 2.309 0.000
0.000 0.000 8.816
Ni Hg Ir
2 1 1
direct
0.000 0.000 0.000
0.500 0.500 0.216
0.500 0.500 0.740
0.000 0.000 0.449



Entry 8:
MnIrPt2 (meta-GGA SCAN, single point on PBEsol structure); calculated volume = 56 Å³ per cell; total moment = 0.97 μB per atom; DOS(E_F) = 3.50 states/eV/f.u.; formation energy = -0.36 eV per atom; space group = No. 139; E_tot = -57.799 eV/atom
1.0
-1.908 1.908 3.872
1.908 -1.908 3.872
1.908 1.908 -3.872
Mn Ir Pt
1 1 2
direct
0.000 0.000 0.000
0.500 0.500 0.000
0.250 0.750 0.500
0.750 0.250 0.500